VASP calculation (PBE) on a relaxed TlSeSN2 crystal.

```
5
Lattice="-1.9420 2.1703 2.3063 -2.0848 -2.9126 0.9853 4.5912 -1.5008 5.2781" Properties=species:S:1:pos:R:3 pbc="T T T"
Tl 0.2822 -1.1216 4.2849
S 0.0000 0.0000 0.0000
Se 2.2956 -0.7504 2.6391
N -1.0424 -1.4563 0.4927
N -0.9710 1.0851 1.1532
```

Calculated values
The energy is -3.876 eV per atom. For the polymorph energy (0 for the lowest one), the calculation gives 85.2 meV per atom. The formation energy (no corrections) comes out at 1.450 eV per atom. The density of states at the Fermi level is 2.005 states/eV/f.u. The density is 5776 kg/m³.

VASP calculation (PBE) on a relaxed Mg2InAg crystal.

```
4
Lattice="5.1573 0.0320 -0.0233 4.1173 3.1060 -0.0233 1.0845 0.3669 5.3669" Properties=species:S:1:pos:R:3 pbc="T T T"
Mg 1.1350 0.3840 5.3075
Mg 5.1291 1.7354 2.7196
Ag 7.7693 2.6287 3.9903
In 2.5898 0.8762 1.3301
```

Calculated values
The energy is -2.283 eV per atom. Its formation energy is -0.088 eV/atom. The density of states at the Fermi level is 1.630 states/eV/f.u. The density is 5278 kg/m³.

> Number 2 is which compound?

Mg2InAg